Computed, not measured: crystalline Ce2InI at its relaxed geometry at the GGA-PBE level of DFT.

Properties
Its space group is P4/mmm. For the mass density, the calculation gives 7.42 g cm⁻³. The calculation puts the total energy at -0.1677 hartree per atom. The calculation puts the uncorrected formation energy at -12.1 kcal/mol of atoms. As for the volume: 29.2 A^3/atom. The value obtained for the relative energy among the computed polymorphs is 0 meV per atom. The total magnetization is 2.8 μB/cell.

Cell: 3.709 3.709 8.493 Å, 90.00 90.00 90.00°
Positions (direct):
1 Ce 0.000 0.000 0.245
2 Ce 0.000 0.000 0.755
3 In 0.500 0.500 0.000
4 I 0.500 0.500 0.500

Computed, not measured: crystalline CeIn2I6 at its relaxed geometry at the GGA-PBE level of DFT.

Properties
Its space group is P2_1/c. For the mass density, the calculation gives 4.51 g cm⁻³. The calculation puts the total energy at -0.1162 hartree per atom. The calculation puts the uncorrected formation energy at -19.8 kcal/mol of atoms. As for the volume: 46.3 A^3/atom. The total magnetization is 0.2 μB/cell.

Cell: 8.175 8.588 13.713 Å, 90.00 120.05 90.00°
Positions (direct):
1 Ce 0.000 0.000 0.000
2 Ce 0.000 0.500 0.500
3 In 0.332 0.103 0.793
4 In 0.332 0.397 0.293
5 In 0.668 0.603 0.707
6 In 0.668 0.897 0.207
7 I 0.085 0.049 0.240
8 I 0.085 0.451 0.740
9 I 0.241 0.707 0.075
10 I 0.241 0.793 0.575
11 I 0.352 0.187 0.050
12 I 0.352 0.313 0.550
13 I 0.648 0.687 0.450
14 I 0.648 0.813 0.950
15 I 0.759 0.207 0.425
16 I 0.759 0.293 0.925
17 I 0.915 0.549 0.260
18 I 0.915 0.951 0.760

Computed, not measured: crystalline CeIn2I5 at its relaxed geometry at the GGA-PBE level of DFT.

Properties
Its space group is Pnma. For the mass density, the calculation gives 5.15 g cm⁻³. The calculation puts the total energy at -0.1214 hartree per atom. The calculation puts the uncorrected formation energy at -21.0 kcal/mol of atoms. As for the volume: 40.5 A^3/atom. The total magnetization is 4.0 μB/cell.

Cell: 14.355 9.817 9.189 Å, 90.00 90.00 90.00°
Positions (direct):
1 Ce 0.004 0.250 0.082
2 Ce 0.496 0.750 0.582
3 Ce 0.504 0.250 0.418
4 Ce 0.996 0.750 0.918
5 In 0.177 0.507 0.544
6 In 0.177 0.993 0.544
7 In 0.323 0.007 0.044
8 In 0.323 0.493 0.044
9 In 0.677 0.507 0.956
10 In 0.677 0.993 0.956
11 In 0.823 0.007 0.456
12 In 0.823 0.493 0.456
13 I 0.005 0.250 0.436
14 I 0.082 0.546 0.167
15 I 0.082 0.954 0.167
16 I 0.184 0.250 0.872
17 I 0.212 0.750 0.831
18 I 0.288 0.250 0.331
19 I 0.316 0.750 0.372
20 I 0.418 0.046 0.667
21 I 0.418 0.454 0.667
22 I 0.495 0.750 0.936
23 I 0.505 0.250 0.064
24 I 0.582 0.546 0.333
25 I 0.582 0.954 0.333
26 I 0.684 0.250 0.628
27 I 0.712 0.750 0.669
28 I 0.788 0.250 0.169
29 I 0.816 0.750 0.128
30 I 0.918 0.046 0.833
31 I 0.918 0.454 0.833
32 I 0.995 0.750 0.564

Computed, not measured: crystalline Ce4InI5 at its relaxed geometry at the GGA-PBE level of DFT.

Properties
Its space group is C2/m. For the mass density, the calculation gives 5.59 g cm⁻³. The calculation puts the total energy at -0.1605 hartree per atom. The calculation puts the uncorrected formation energy at -21.8 kcal/mol of atoms. As for the volume: 38.9 A^3/atom. The total magnetization is 5.4 μB/cell.

Cell: 9.953 9.953 9.439 Å, 100.47 100.47 25.06°
Positions (direct):
1 Ce 0.002 0.002 0.239
2 Ce 0.335 0.335 0.935
3 Ce 0.665 0.665 0.065
4 Ce 0.998 0.998 0.761
5 In 0.500 0.500 0.000
6 I 0.168 0.168 0.808
7 I 0.170 0.170 0.324
8 I 0.500 0.500 0.500
9 I 0.830 0.830 0.676
10 I 0.832 0.832 0.192

Computed, not measured: crystalline CeIn4I7 at its relaxed geometry at the GGA-PBE level of DFT.

Properties
Its space group is C2/m. For the mass density, the calculation gives 4.44 g cm⁻³. The calculation puts the total energy at -0.1106 hartree per atom. The calculation puts the uncorrected formation energy at -16.1 kcal/mol of atoms. As for the volume: 46.4 A^3/atom. The total magnetization is 1.0 μB/cell.

Cell: 11.593 11.593 8.551 Å, 106.01 106.01 30.34°
Positions (direct):
1 Ce 0.000 0.000 0.000
2 In 0.309 0.309 0.726
3 In 0.419 0.419 0.354
4 In 0.581 0.581 0.646
5 In 0.691 0.691 0.274
6 I 0.085 0.085 0.362
7 I 0.119 0.119 0.876
8 I 0.275 0.275 0.332
9 I 0.500 0.500 0.000
10 I 0.725 0.725 0.668
11 I 0.881 0.881 0.124
12 I 0.915 0.915 0.638

Computed, not measured: crystalline CeIn3I6 at its relaxed geometry at the GGA-PBE level of DFT.

Properties
Its space group is P2_1/c. For the mass density, the calculation gives 4.52 g cm⁻³. The calculation puts the total energy at -0.1159 hartree per atom. The calculation puts the uncorrected formation energy at -18.7 kcal/mol of atoms. As for the volume: 45.8 A^3/atom. The total magnetization is 2.0 μB/cell.

Cell: 8.238 9.250 14.055 Å, 90.00 121.27 90.00°
Positions (direct):
1 Ce 0.000 0.000 0.000
2 Ce 0.000 0.500 0.500
3 In 0.314 0.097 0.785
4 In 0.314 0.403 0.285
5 In 0.500 0.000 0.500
6 In 0.500 0.500 0.000
7 In 0.686 0.597 0.715
8 In 0.686 0.903 0.215
9 I 0.088 0.064 0.243
10 I 0.088 0.436 0.743
11 I 0.247 0.715 0.085
12 I 0.247 0.785 0.585
13 I 0.368 0.169 0.048
14 I 0.368 0.331 0.548
15 I 0.632 0.669 0.452
16 I 0.632 0.831 0.952
17 I 0.753 0.215 0.415
18 I 0.753 0.285 0.915
19 I 0.912 0.564 0.257
20 I 0.912 0.936 0.757

Computed, not measured: crystalline Ce2InI at its relaxed geometry at the GGA-PBE level of DFT.

Properties
Its space group is R-3m. For the mass density, the calculation gives 6.65 g cm⁻³. The calculation puts the total energy at -0.1653 hartree per atom. The calculation puts the uncorrected formation energy at -10.6 kcal/mol of atoms. As for the volume: 32.6 A^3/atom. The value obtained for the relative energy among the computed polymorphs is 65 meV per atom. The total magnetization is 1.9 μB/cell.

Cell: 7.507 7.507 7.507 Å, 35.93 35.93 35.93°
Positions (direct):
1 Ce 0.248 0.248 0.248
2 Ce 0.752 0.752 0.752
3 In 0.500 0.500 0.500
4 I 0.000 0.000 0.000

Computed, not measured: crystalline Ce4In2I5 at its relaxed geometry at the GGA-PBE level of DFT.

Properties
Its space group is C2/m. For the mass density, the calculation gives 6.14 g cm⁻³. The calculation puts the total energy at -0.1426 hartree per atom. The calculation puts the uncorrected formation energy at -12.0 kcal/mol of atoms. As for the volume: 35.0 A^3/atom. The total magnetization is 1.3 μB/cell.

Cell: 10.710 10.710 9.256 Å, 94.60 94.60 21.36°
Positions (direct):
1 Ce 0.039 0.039 0.333
2 Ce 0.449 0.449 0.321
3 Ce 0.551 0.551 0.679
4 Ce 0.961 0.961 0.667
5 In 0.314 0.314 0.530
6 In 0.686 0.686 0.470
7 I 0.160 0.160 0.782
8 I 0.169 0.169 0.195
9 I 0.500 0.500 0.000
10 I 0.831 0.831 0.805
11 I 0.840 0.840 0.218

Q: Look up the mass density of the first one.
A: 7.42 g cm⁻³